(1)
Rb2TcBF6 (GGA-PBE, relaxed); E_form (uncorrected) = -1722 meV per atom; ρ = 4.0 Mg/m³
1.0
-3.0339 3.0339 4.4669
3.0339 -3.0339 4.4669
3.0339 3.0339 -4.4669
Rb Tc B F
2 1 1 6
direct
0.2500 0.7500 0.5000 Rb
0.7500 0.2500 0.5000 Rb
0.0000 0.0000 0.0000 Tc
0.5000 0.5000 0.0000 B
0.2248 0.2248 0.0000 F
0.2425 0.2425 0.4850 F
0.2425 0.7575 0.0000 F
0.7575 0.2425 0.0000 F
0.7575 0.7575 0.5150 F
0.7752 0.7752 0.0000 F

(2)
Mn2PSe (GGA-PBE, relaxed); E_form (uncorrected) = 133 meV per atom; ρ = 5.3 Mg/m³
1.0
-2.5891 2.5891 5.1617
2.5891 -2.5891 5.1617
2.5891 2.5891 -5.1617
Mn P Se
4 2 2
direct
0.1050 0.6250 0.9800 Mn
0.3750 0.3550 0.4800 Mn
0.6450 0.1250 0.0200 Mn
0.8750 0.8950 0.5200 Mn
0.0000 0.0000 0.0000 P
0.7500 0.2500 0.5000 P
0.2500 0.7500 0.5000 Se
0.5000 0.5000 0.0000 Se

(3)
DyLu2Tl (GGA-PBE, relaxed); formation energy from the elements = 57.9 kJ/mol of formula units; ρ = 9.8 Mg/m³
1.0
1.7209 0.9936 11.7999
-1.7209 0.9936 11.7999
0.0000 -1.9871 11.7999
Dy Lu Tl
1 2 1
direct
0.0000 0.0000 0.0000 Dy
0.0947 0.0947 0.0947 Lu
0.9053 0.9053 0.9053 Lu
0.5000 0.5000 0.5000 Tl

(4)
YTlSb2 (GGA-PBE, relaxed); E_form (uncorrected) = -408 meV per atom; ρ = 7.8 Mg/m³
1.0
4.2470 0.0000 0.0000
0.0000 4.6285 0.0000
-1.2291 0.0000 5.8287
Y Tl Sb
1 1 2
direct
0.0000 0.0000 0.0000 Y
0.8606 0.5000 0.5759 Tl
0.3366 0.0000 0.5569 Sb
0.5259 0.5000 0.0826 Sb

(5)
KIrAu2 (GGA-PBE, relaxed); formation energy from the elements = 303.6 kJ/mol of formula units; ρ = 13.1 Mg/m³
1.0
0.0000 3.4062 3.4062
3.4062 0.0000 3.4062
3.4062 3.4062 0.0000
K Ir Au
1 1 2
direct
0.0000 0.0000 0.0000 K
0.2500 0.2500 0.2500 Ir
0.5000 0.5000 0.5000 Au
0.7500 0.7500 0.7500 Au

(6)
YCdNi2Rh (GGA-PBE, relaxed); formation energy from the elements = 230.6 kJ/mol of formula units; ρ = 6.3 Mg/m³
1.0
4.6998 0.0000 0.0000
0.0000 4.6998 0.0000
0.0000 0.0000 5.0539
Y Cd Ni Rh
1 1 2 1
direct
0.0000 0.0000 0.0000 Y
0.5000 0.5000 0.0000 Cd
0.0000 0.5000 0.5000 Ni
0.5000 0.0000 0.5000 Ni
0.0000 0.0000 0.5000 Rh

Number 4 is which compound? YTlSb2